[1]
Compound: Be2SiIr
Source: Alexandria
Functional: PBE-GGA
Structure: relaxed

```
data_Be2SiIr
_chemical_formula_sum 'Be2 Si1 Ir1'
_cell_length_a 4.329
_cell_length_b 4.329
_cell_length_c 4.329
_cell_angle_alpha 131.90
_cell_angle_beta 131.90
_cell_angle_gamma 70.39
_space_group_name_H-M_alt 'P 1'
_space_group_IT_number 1
loop_
_space_group_symop_operation_xyz
'x,y,z'
loop_
_atom_site_label
_atom_site_type_symbol
_atom_site_fract_x
_atom_site_fract_y
_atom_site_fract_z
Be1 Be 0.000 0.000 0.000
Be2 Be 0.750 0.250 0.500
Si1 Si 0.250 0.750 0.500
Ir1 Ir 0.500 0.500 0.000
```

The calculated volume comes out at 11.01 Å³/atom. The calculation puts the uncorrected formation energy at -373 meV per atom. As for the space-group type: No. 119.

---

[2]
Compound: PaZn2Rh5
Source: Alexandria
Functional: PBE-GGA
Structure: relaxed

```
data_PaZn2Rh5
_chemical_formula_sum 'Pa1 Zn2 Rh5'
_cell_length_a 7.680
_cell_length_b 7.680
_cell_length_c 7.680
_cell_angle_alpha 148.65
_cell_angle_beta 148.65
_cell_angle_gamma 44.92
_space_group_name_H-M_alt 'P 1'
_space_group_IT_number 1
loop_
_space_group_symop_operation_xyz
'x,y,z'
loop_
_atom_site_label
_atom_site_type_symbol
_atom_site_fract_x
_atom_site_fract_y
_atom_site_fract_z
Pa1 Pa 0.000 0.000 0.000
Zn1 Zn 0.251 0.251 0.000
Zn2 Zn 0.749 0.749 0.000
Rh1 Rh 0.136 0.636 0.500
Rh2 Rh 0.364 0.864 0.500
Rh3 Rh 0.500 0.500 0.000
Rh4 Rh 0.636 0.136 0.500
Rh5 Rh 0.864 0.364 0.500
```

Its formation energy from the elements is -498 kJ/mol of formula units. The calculated volume comes out at 15.28 Å³/atom. As for the space-group type: No. 139.

---

[3]
Compound: CaLaAlGa
Source: Alexandria
Functional: PBE-GGA
Structure: relaxed

```
data_CaLaAlGa
_chemical_formula_sum 'Ca1 La1 Al1 Ga1'
_cell_length_a 5.297
_cell_length_b 5.297
_cell_length_c 5.297
_cell_angle_alpha 60.00
_cell_angle_beta 60.00
_cell_angle_gamma 60.00
_space_group_name_H-M_alt 'P 1'
_space_group_IT_number 1
loop_
_space_group_symop_operation_xyz
'x,y,z'
loop_
_atom_site_label
_atom_site_type_symbol
_atom_site_fract_x
_atom_site_fract_y
_atom_site_fract_z
Ca1 Ca 0.000 0.000 0.000
La1 La 0.500 0.500 0.500
Al1 Al 0.750 0.750 0.750
Ga1 Ga 0.250 0.250 0.250
```

Its formation energy from the elements is -151 kJ/mol of formula units. The calculated volume comes out at 26.27 Å³/atom. As for the space-group type: No. 216.

---

[4]
Compound: Ag3WSe
Source: Alexandria
Functional: PBE-GGA
Structure: relaxed

```
data_Ag3WSe
_chemical_formula_sum 'Ag3 W1 Se1'
_cell_length_a 4.999
_cell_length_b 4.999
_cell_length_c 4.999
_cell_angle_alpha 90.00
_cell_angle_beta 90.00
_cell_angle_gamma 90.00
_space_group_name_H-M_alt 'P 1'
_space_group_IT_number 1
loop_
_space_group_symop_operation_xyz
'x,y,z'
loop_
_atom_site_label
_atom_site_type_symbol
_atom_site_fract_x
_atom_site_fract_y
_atom_site_fract_z
Ag1 Ag 0.000 0.000 0.500
Ag2 Ag 0.000 0.500 0.000
Ag3 Ag 0.500 0.000 0.000
W1 W 0.500 0.500 0.500
Se1 Se 0.000 0.000 0.000
```

The calculated volume comes out at 24.99 Å³/atom. The calculation puts the uncorrected formation energy at 1446 meV per atom. The excess energy over the best structure of this formula in the dataset comes out at 0.0 kJ/mol of formula units. As for the space-group type: No. 221.

---

[5]
Compound: ScAgHgPd2
Source: Alexandria
Functional: PBE-GGA
Structure: relaxed

```
data_ScAgHgPd2
_chemical_formula_sum 'Sc1 Ag1 Hg1 Pd2'
_cell_length_a 5.057
_cell_length_b 5.057
_cell_length_c 5.104
_cell_angle_alpha 90.00
_cell_angle_beta 90.00
_cell_angle_gamma 90.00
_space_group_name_H-M_alt 'P 1'
_space_group_IT_number 1
loop_
_space_group_symop_operation_xyz
'x,y,z'
loop_
_atom_site_label
_atom_site_type_symbol
_atom_site_fract_x
_atom_site_fract_y
_atom_site_fract_z
Sc1 Sc 0.000 0.000 0.000
Ag1 Ag 0.500 0.500 0.000
Hg1 Hg 0.000 0.000 0.500
Pd1 Pd 0.000 0.500 0.500
Pd2 Pd 0.500 0.000 0.500
```

Its formation energy from the elements is 348 kJ/mol of formula units. The calculated volume comes out at 26.10 Å³/atom. As for the space-group type: No. 123.

---

[6]
Compound: Hf12MnSn6
Source: Alexandria
Functional: PBE-GGA
Structure: relaxed

```
data_Hf12MnSn6
_chemical_formula_sum 'Hf12 Mn1 Sn6'
_cell_length_a 7.866
_cell_length_b 7.866
_cell_length_c 7.866
_cell_angle_alpha 100.53
_cell_angle_beta 100.53
_cell_angle_gamma 100.53
_space_group_name_H-M_alt 'P 1'
_space_group_IT_number 1
loop_
_space_group_symop_operation_xyz
'x,y,z'
loop_
_atom_site_label
_atom_site_type_symbol
_atom_site_fract_x
_atom_site_fract_y
_atom_site_fract_z
Hf1 Hf 0.011 0.055 0.313
Hf2 Hf 0.055 0.313 0.011
Hf3 Hf 0.216 0.519 0.402
Hf4 Hf 0.313 0.011 0.055
Hf5 Hf 0.402 0.216 0.519
Hf6 Hf 0.481 0.598 0.784
Hf7 Hf 0.519 0.402 0.216
Hf8 Hf 0.598 0.784 0.481
Hf9 Hf 0.687 0.989 0.945
Hf10 Hf 0.784 0.481 0.598
Hf11 Hf 0.945 0.687 0.989
Hf12 Hf 0.989 0.945 0.687
Mn1 Mn 0.000 0.000 0.000
Sn1 Sn 0.106 0.332 0.662
Sn2 Sn 0.332 0.662 0.106
Sn3 Sn 0.338 0.894 0.668
Sn4 Sn 0.662 0.106 0.332
Sn5 Sn 0.668 0.338 0.894
Sn6 Sn 0.894 0.668 0.338
```

Its formation energy from the elements is 90 kJ/mol of formula units. The calculated volume comes out at 24.13 Å³/atom. As for the space-group type: No. 148.

---

[7]
Compound: TlPt2Pb
Source: Alexandria
Functional: PBE-GGA
Structure: relaxed

```
data_TlPt2Pb
_chemical_formula_sum 'Tl1 Pt2 Pb1'
_cell_length_a 4.904
_cell_length_b 4.904
_cell_length_c 4.904
_cell_angle_alpha 60.00
_cell_angle_beta 60.00
_cell_angle_gamma 60.00
_space_group_name_H-M_alt 'P 1'
_space_group_IT_number 1
loop_
_space_group_symop_operation_xyz
'x,y,z'
loop_
_atom_site_label
_atom_site_type_symbol
_atom_site_fract_x
_atom_site_fract_y
_atom_site_fract_z
Tl1 Tl 0.000 0.000 0.000
Pt1 Pt 0.500 0.500 0.500
Pt2 Pt 0.750 0.750 0.750
Pb1 Pb 0.250 0.250 0.250
```

Its formation energy from the elements is 67 kJ/mol of formula units. The calculated volume comes out at 20.84 Å³/atom. As for the space-group type: No. 216.

---

[8]
Compound: La2DyEr2In5
Source: Alexandria
Functional: PBE-GGA
Structure: relaxed

```
data_La2DyEr2In5
_chemical_formula_sum 'La4 Dy2 Er4 In10'
_cell_length_a 11.050
_cell_length_b 11.050
_cell_length_c 4.656
_cell_angle_alpha 90.00
_cell_angle_beta 90.00
_cell_angle_gamma 90.00
_space_group_name_H-M_alt 'P 1'
_space_group_IT_number 1
loop_
_space_group_symop_operation_xyz
'x,y,z'
loop_
_atom_site_label
_atom_site_type_symbol
_atom_site_fract_x
_atom_site_fract_y
_atom_site_fract_z
La1 La 0.176 0.324 0.000
La2 La 0.324 0.824 0.000
La3 La 0.676 0.176 0.000
La4 La 0.824 0.676 0.000
Dy1 Dy 0.000 0.000 0.000
Dy2 Dy 0.500 0.500 0.000
Er1 Er 0.124 0.624 0.000
Er2 Er 0.376 0.124 0.000
Er3 Er 0.624 0.876 0.000
Er4 Er 0.876 0.376 0.000
In1 In 0.000 0.500 0.500
In2 In 0.062 0.805 0.500
In3 In 0.195 0.062 0.500
In4 In 0.305 0.562 0.500
In5 In 0.438 0.305 0.500
In6 In 0.500 0.000 0.500
In7 In 0.562 0.695 0.500
In8 In 0.695 0.438 0.500
In9 In 0.805 0.938 0.500
In10 In 0.938 0.195 0.500
```

Its formation energy from the elements is -349 kJ/mol of formula units. The calculated volume comes out at 28.42 Å³/atom. As for the space-group type: No. 127.

---

[9]
Compound: SrScAg4
Source: Alexandria
Functional: PBE-GGA
Structure: relaxed

```
data_SrScAg4
_chemical_formula_sum 'Sr1 Sc1 Ag4'
_cell_length_a 5.750
_cell_length_b 5.750
_cell_length_c 5.750
_cell_angle_alpha 60.00
_cell_angle_beta 60.00
_cell_angle_gamma 60.00
_space_group_name_H-M_alt 'P 1'
_space_group_IT_number 1
loop_
_space_group_symop_operation_xyz
'x,y,z'
loop_
_atom_site_label
_atom_site_type_symbol
_atom_site_fract_x
_atom_site_fract_y
_atom_site_fract_z
Sr1 Sr 0.000 0.000 0.000
Sc1 Sc 0.250 0.250 0.250
Ag1 Ag 0.127 0.624 0.624
Ag2 Ag 0.624 0.127 0.624
Ag3 Ag 0.624 0.624 0.127
Ag4 Ag 0.624 0.624 0.624
```

Its formation energy from the elements is -46 kJ/mol of formula units. The calculated volume comes out at 22.41 Å³/atom. As for the space-group type: No. 216.

---

[10]
Compound: Y2Tm5Tl
Source: Alexandria
Functional: PBE-GGA
Structure: relaxed

```
data_Y2Tm5Tl
_chemical_formula_sum 'Y2 Tm5 Tl1'
_cell_length_a 6.970
_cell_length_b 6.970
_cell_length_c 6.970
_cell_angle_alpha 120.29
_cell_angle_beta 120.29
_cell_angle_gamma 89.50
_space_group_name_H-M_alt 'P 1'
_space_group_IT_number 1
loop_
_space_group_symop_operation_xyz
'x,y,z'
loop_
_atom_site_label
_atom_site_type_symbol
_atom_site_fract_x
_atom_site_fract_y
_atom_site_fract_z
Y1 Y 0.000 0.500 0.500
Y2 Y 0.500 0.000 0.500
Tm1 Tm 0.000 0.000 0.000
Tm2 Tm 0.000 0.000 0.500
Tm3 Tm 0.000 0.500 0.000
Tm4 Tm 0.500 0.000 0.000
Tm5 Tm 0.500 0.500 0.500
Tl1 Tl 0.500 0.500 0.000
```

Its formation energy from the elements is -31 kJ/mol of formula units. The calculated volume comes out at 29.80 Å³/atom. As for the space-group type: No. 139.